# 1
The following is a GGA-PBE calculation of a geometry-optimized Li4EuPt structure, from Alexandria via LeMat-Bulk.

The structure in POSCAR format:
```
Li4EuPt
1.0
5.346 0.000 0.000
2.673 4.630 0.000
2.673 1.543 4.365
Pt Li Eu
1 4 1
direct
0.000 0.000 0.000
0.628 0.628 0.115
0.628 0.628 0.628
0.628 0.115 0.628
0.115 0.628 0.628
0.250 0.250 0.250
```

Properties
symmetry: F-43m (216)
electronic total energy: -4.17 eV/atom
ΔE_f: -177.8 meV/atom


# 2
The following is a GGA-PBE calculation of a geometry-optimized LiEuPt structure, from Alexandria via LeMat-Bulk.

The structure in POSCAR format:
```
LiEuPt
1.0
-3.481 0.430 3.216
-0.935 -3.583 2.989
1.066 0.415 4.619
Eu Pt Li
1 1 1
direct
0.000 0.000 0.000
0.250 0.250 0.250
0.500 0.500 0.500
```

Properties
symmetry: F-43m (216)
electronic total energy: -6.58 eV/atom
relative energy among the computed polymorphs: 117 meV/atom
ΔE_f: -507.0 meV/atom


# 3
The following is a GGA-PBE calculation of a geometry-optimized Li2EuPt structure, from Alexandria via LeMat-Bulk.

The structure in POSCAR format:
```
Li2EuPt
1.0
-3.166 2.829 2.043
-3.350 -1.823 2.766
0.140 0.718 4.654
Li Pt Eu
2 1 1
direct
0.250 0.250 0.250
0.750 0.750 0.750
0.500 0.500 0.500
0.000 0.000 0.000
```

Properties
symmetry: Fm-3m (225)
electronic total energy: -5.41 eV/atom
ΔE_f: -370.1 meV/atom


# 4
The following is a GGA-PBE calculation of a geometry-optimized LiEuPt4 structure, from Alexandria via LeMat-Bulk.

The structure in POSCAR format:
```
LiEuPt4
1.0
5.395 0.000 0.000
2.697 4.672 0.000
2.697 1.557 4.405
Li Pt Eu
1 4 1
direct
0.000 0.000 0.000
0.625 0.625 0.124
0.625 0.625 0.625
0.625 0.124 0.625
0.124 0.625 0.625
0.250 0.250 0.250
```

Properties
symmetry: F-43m (216)
electronic total energy: -6.82 eV/atom
ΔE_f: -757.2 meV/atom


- What is the formula in the fourth record?
  LiEuPt4


- Among the records above, which one has the lowest ΔE_f?
  LiEuPt4


- What is the formula in the first record?
  Li4EuPt


- Which value of ΔE_f does entry 2 give?
  -507.0 meV/atom